Entry 1:
YTa2Ni | GGA-PBE | relaxed

Values from the calculation:
DOS at the Fermi energy	1.87	states/eV/cell
energy of formation from the pure elements	102	kJ/mol of formula units
total moment	0.00	μB/f.u.

a b c (Å): 9.184 9.184 9.184
angles (deg): 19.76 19.76 19.76
Fractional coordinates of all 4 atoms:
Ni 0.741 0.741 0.741
Ta 0.008 0.008 0.008
Ta 0.259 0.259 0.259
Y 0.493 0.493 0.493

=====

Entry 2:
YTa2Ni | GGA-PBE | relaxed

Values from the calculation:
DOS at the Fermi energy	4.49	states/eV/cell
energy of formation from the pure elements	117	kJ/mol of formula units
total moment	0.00	μB/f.u.

a b c (Å): 5.579 5.579 5.579
angles (deg): 147.22 125.25 65.30
Fractional coordinates of all 4 atoms:
Ni 0.230 0.730 0.500
Ta 0.022 0.022 0.000
Ta 0.768 0.268 0.500
Y 0.481 0.481 0.000

=====

Entry 3:
YTa2Ni | GGA-PBE | relaxed

Values from the calculation:
DOS at the Fermi energy	4.73	states/eV/cell
energy of formation from the pure elements	104	kJ/mol of formula units
total moment	0.00	μB/f.u.

a b c (Å): 5.605 5.605 5.605
angles (deg): 138.65 138.65 59.90
Fractional coordinates of all 4 atoms:
Ni 0.750 0.250 0.500
Ta 0.000 0.000 0.000
Ta 0.500 0.500 0.000
Y 0.250 0.750 0.500

=====

Entry 4:
YTaNi | GGA-PBE | relaxed

Values from the calculation:
DOS at the Fermi energy	1.41	states/eV/cell
energy of formation from the pure elements	20	kJ/mol of formula units
total moment	0.00	μB/f.u.

a b c (Å): 4.115 4.115 4.318
angles (deg): 90.00 90.00 120.00
Fractional coordinates of all 3 atoms:
Ni 0.000 0.000 0.166
Ta 0.333 0.667 0.167
Y 0.667 0.333 0.667

=====

Entry 5:
Y2TaNi | GGA-PBE | relaxed

Values from the calculation:
DOS at the Fermi energy	4.61	states/eV/cell
energy of formation from the pure elements	20	kJ/mol of formula units
total moment	0.00	μB/f.u.

a b c (Å): 6.151 6.151 5.013
angles (deg): 65.76 65.76 31.52
Fractional coordinates of all 4 atoms:
Ni 0.529 0.529 0.498
Ta 0.196 0.196 0.291
Y 0.992 0.992 0.008
Y 0.783 0.783 0.704

=====

Entry 6:
YTaNi2 | GGA-PBE | relaxed

Values from the calculation:
DOS at the Fermi energy	2.88	states/eV/cell
energy of formation from the pure elements	-71	kJ/mol of formula units
total moment	0.00	μB/f.u.

a b c (Å): 4.099 3.247 5.440
angles (deg): 71.95 90.00 90.00
Fractional coordinates of all 4 atoms:
Ni 0.000 0.191 0.996
Ni 0.500 0.033 0.300
Ta 0.000 0.497 0.378
Y 0.500 0.779 0.826

=====

Entry 7:
YTaNi2 | GGA-PBE | relaxed

Values from the calculation:
DOS at the Fermi energy	3.48	states/eV/cell
energy of formation from the pure elements	-90	kJ/mol of formula units
total moment	0.00	μB/f.u.

a b c (Å): 3.188 3.188 6.722
angles (deg): 90.00 90.00 90.03
Fractional coordinates of all 4 atoms:
Ni 0.000 0.000 0.056
Ni 0.000 0.000 0.444
Ta 0.500 0.500 0.250
Y 0.500 0.500 0.750

=====

Entry 8:
YTa4Ni | GGA-PBE | relaxed

Values from the calculation:
DOS at the Fermi energy	5.88	states/eV/cell
energy of formation from the pure elements	260	kJ/mol of formula units
total moment	0.00	μB/f.u.

a b c (Å): 5.555 5.555 5.555
angles (deg): 60.00 60.00 60.00
Fractional coordinates of all 6 atoms:
Y 0.750 0.750 0.750
Ta 0.871 0.376 0.376
Ta 0.376 0.376 0.871
Ta 0.376 0.871 0.376
Ta 0.376 0.376 0.376
Ni 0.000 0.000 0.000